## LaHgAu3 (PBE)

Data for a relaxed LaHgAu3 crystal.

DFT formation energy	-0.5427	eV per atom
magnetization	0.00	μB per cell

Lattice parameters (Å, degrees): 4.957 9.180 10.339 90.00 90.00 90.00
Atoms (fractional coordinates):
La: 0.250 0.974 0.212
La: 0.750 0.474 0.288
La: 0.250 0.526 0.712
La: 0.750 0.026 0.788
Hg: 0.750 0.385 0.908
Hg: 0.750 0.115 0.408
Hg: 0.250 0.885 0.592
Hg: 0.250 0.615 0.092
Au: 0.750 0.812 0.337
Au: 0.250 0.188 0.663
Au: 0.750 0.688 0.837
Au: 0.250 0.312 0.163
Au: 0.750 0.348 0.595
Au: 0.250 0.848 0.905
Au: 0.750 0.152 0.095
Au: 0.250 0.327 0.429
Au: 0.750 0.673 0.571
Au: 0.250 0.173 0.929
Au: 0.250 0.652 0.405
Au: 0.750 0.827 0.071



## Tb2NdSn2Hg2 (PBE)

Data for a relaxed Tb2NdSn2Hg2 crystal.

DFT formation energy	-0.3530	eV per atom
magnetization	0.00	μB per cell

Lattice parameters (Å, degrees): 5.002 5.002 9.461 74.67 74.67 60.00
Atoms (fractional coordinates):
Tb: 0.131 0.131 0.606
Tb: 0.869 0.869 0.394
Nd: 0.000 0.000 0.000
Sn: 0.731 0.731 0.806
Sn: 0.269 0.269 0.194
Hg: 0.567 0.567 0.299
Hg: 0.433 0.433 0.701



## TeAsNF2 (PBE)

Data for a relaxed TeAsNF2 crystal.

magnetization	1.78	μB per cell
uncorrected formation energy	0.1485	eV per atom

Lattice parameters (Å, degrees): 4.458 4.458 4.265 90.00 90.00 90.00
Site moments in Bohr magnetons follow the coordinates.
Atoms (fractional coordinates):
N: 0.000 0.000 0.500  -0.09
As: 0.500 0.500 0.500  0.90
Te: 0.000 0.000 0.000  -0.03
F: 0.000 0.500 0.000  0.05
F: 0.500 0.000 0.000  0.05



## CaFe3Br (PBE)

Data for a relaxed CaFe3Br crystal.

magnetization	7.93	μB per cell
uncorrected formation energy	1.9471	eV per atom

Lattice parameters (Å, degrees): 4.902 4.902 4.902 90.00 90.00 90.00
Site moments in Bohr magnetons follow the coordinates.
Atoms (fractional coordinates):
Ca: 0.000 0.000 0.000  -0.27
Fe: 0.000 0.500 0.000  2.75
Fe: 0.000 0.000 0.500  2.57
Fe: 0.500 0.000 0.000  2.91
Br: 0.500 0.500 0.500  0.10



## TbGe2Mo (PBE)

Data for a relaxed TbGe2Mo crystal.

DFT formation energy	-0.2892	eV per atom
magnetization	0.11	μB per cell

Lattice parameters (Å, degrees): 3.337 3.337 6.683 90.00 90.00 90.00
Site moments in Bohr magnetons follow the coordinates.
Atoms (fractional coordinates):
Mo: 0.500 0.500 0.000  0.03
Tb: 0.500 0.500 0.500  0.07
Ge: 0.000 0.000 0.799  0.00
Ge: 0.000 0.000 0.201  0.00



## PaSeI3 (PBE)

Data for a relaxed PaSeI3 crystal.

magnetization	4.02	μB per cell
uncorrected formation energy	-0.9222	eV per atom

Lattice parameters (Å, degrees): 8.247 8.898 14.962 86.45 82.32 62.39
Site moments in Bohr magnetons follow the coordinates.
Atoms (fractional coordinates):
Pa: 0.982 0.885 0.143  0.98
Pa: 0.133 0.885 0.357  0.98
Pa: 0.018 0.115 0.857  0.98
Pa: 0.867 0.115 0.643  0.98
Se: 0.316 0.635 0.210  -0.02
Se: 0.049 0.635 0.290  -0.02
Se: 0.684 0.365 0.790  -0.02
Se: 0.951 0.365 0.710  -0.02
I: 0.752 0.216 0.036  -0.02
I: 0.032 0.216 0.464  -0.02
I: 0.248 0.784 0.964  -0.02
I: 0.968 0.784 0.536  -0.02
I: 0.765 0.733 0.084  -0.02
I: 0.502 0.733 0.416  -0.02
I: 0.235 0.267 0.916  -0.02
I: 0.498 0.267 0.584  -0.02
I: 0.721 0.095 0.307  -0.03
I: 0.185 0.095 0.193  -0.03
I: 0.279 0.905 0.693  -0.03
I: 0.815 0.905 0.807  -0.03



## AsPtAu2S (PBE)

Data for a relaxed AsPtAu2S crystal.

magnetization	0.00	μB per cell
uncorrected formation energy	0.7676	eV per atom

Lattice parameters (Å, degrees): 5.210 4.518 5.210 90.00 90.00 90.00
Atoms (fractional coordinates):
As: 0.000 0.500 0.000
Au: 0.000 0.000 0.500
Au: 0.500 0.000 0.000
S: 0.500 0.500 0.500
Pt: 0.000 0.000 0.000



## PmAl4Au6 (PBE)

Data for a relaxed PmAl4Au6 crystal.

DFT formation energy	-0.5337	eV per atom
magnetization	0.00	μB per cell

Lattice parameters (Å, degrees): 4.270 7.434 7.433 120.00 90.00 90.00
Atoms (fractional coordinates):
Pm: 0.000 0.333 0.667
Al: 0.500 0.534 0.467
Al: 0.500 0.933 0.466
Al: 0.000 0.000 0.000
Al: 0.500 0.533 0.067
Au: 0.500 0.139 0.861
Au: 0.500 0.139 0.278
Au: 0.000 0.800 0.598
Au: 0.000 0.402 0.201
Au: 0.000 0.799 0.200
Au: 0.500 0.722 0.861



## NiH3 (PBE)

Data for a relaxed NiH3 crystal.

VASP energy	-15.04	eV/cell
magnetization	0.00	μB per cell

Lattice parameters (Å, degrees): 2.320 2.930 4.880 107.47 103.75 90.00
Atoms (fractional coordinates):
Ni: 0.000 0.874 0.000
H: 0.375 0.793 0.750
H: 0.500 0.458 0.000
H: 0.625 0.043 0.250



## Na3PPd4 (PBE)

Data for a relaxed Na3PPd4 crystal.

DFT formation energy	-0.3151	eV per atom
magnetization	0.00	μB per cell

Lattice parameters (Å, degrees): 6.239 6.239 6.239 110.83 92.52 126.89
Atoms (fractional coordinates):
Na: 0.573 0.243 0.816
Na: 0.936 0.000 0.936
Na: 0.573 0.757 0.329
P: 0.014 0.500 0.514
Pd: 0.212 0.700 0.912
Pd: 0.212 0.300 0.512
Pd: 0.559 0.244 0.316
Pd: 0.072 0.756 0.316



## U2MnCo12P3 (PBE)

Data for a relaxed U2MnCo12P3 crystal.

DFT formation energy	-0.1019	eV per atom
magnetization	0.96	μB per cell

Lattice parameters (Å, degrees): 6.181 6.181 6.181 81.89 81.89 81.89
Site moments in Bohr magnetons follow the coordinates.
Atoms (fractional coordinates):
U: 0.638 0.638 0.638  -0.51
U: 0.362 0.362 0.362  -0.51
Mn: 0.000 0.000 0.000  -3.83
Co: 0.374 0.374 0.896  0.53
Co: 0.811 0.811 0.338  0.17
Co: 0.338 0.811 0.811  0.17
Co: 0.896 0.374 0.374  0.53
Co: 0.811 0.338 0.811  0.17
Co: 0.374 0.896 0.374  0.53
Co: 0.626 0.626 0.104  0.53
Co: 0.189 0.189 0.662  0.17
Co: 0.662 0.189 0.189  0.17
Co: 0.104 0.626 0.626  0.53
Co: 0.189 0.662 0.189  0.17
Co: 0.626 0.104 0.626  0.53
P: 0.500 0.000 0.000  -0.01
P: 0.000 0.500 0.000  -0.01
P: 0.000 0.000 0.500  -0.01



## AcIn2 (PBE)

Data for a relaxed AcIn2 crystal.

DFT formation energy	-0.4153	eV per atom
magnetization	0.00	μB per cell

Lattice parameters (Å, degrees): 6.315 6.315 6.315 60.00 60.00 60.00
Atoms (fractional coordinates):
Ac: 0.000 0.000 0.000
Ac: 0.250 0.250 0.250
In: 0.125 0.625 0.625
In: 0.625 0.125 0.625
In: 0.625 0.625 0.625
In: 0.625 0.625 0.125



## Ce2Dy5Ho4 (PBE)

Data for a relaxed Ce2Dy5Ho4 crystal.

DFT formation energy	0.0992	eV per atom
magnetization	1.50	μB per cell

Lattice parameters (Å, degrees): 3.463 11.488 8.865 94.07 101.21 89.93
Site moments in Bohr magnetons follow the coordinates.
Atoms (fractional coordinates):
Ce: 0.720 0.360 0.440  0.63
Ce: 0.280 0.640 0.560  0.63
Dy: 0.903 0.465 0.806  -0.01
Dy: 0.097 0.535 0.194  -0.01
Dy: 0.823 0.929 0.646  0.01
Dy: 0.500 0.000 0.000  -0.01
Dy: 0.177 0.071 0.354  0.01
Ho: 0.359 0.203 0.718  -0.01
Ho: 0.966 0.742 0.933  0.00
Ho: 0.641 0.797 0.282  -0.01
Ho: 0.034 0.258 0.067  0.00



## La4Pm3PrS8 (PBE)

Data for a relaxed La4Pm3PrS8 crystal.

magnetization	0.00	μB per cell
uncorrected formation energy	-2.1014	eV per atom

Lattice parameters (Å, degrees): 8.210 8.206 8.210 120.01 120.00 90.00
Atoms (fractional coordinates):
La: 0.500 0.000 0.000
La: 0.500 0.000 0.500
La: 0.000 0.000 0.000
La: 0.000 0.000 0.500
Pm: 0.500 0.500 0.000
Pm: 0.500 0.500 0.500
Pm: 0.000 0.500 0.500
Pr: 0.000 0.500 0.000
S: 0.249 0.744 0.994
S: 0.250 0.744 0.499
S: 0.253 0.258 0.505
S: 0.745 0.744 0.994
S: 0.255 0.256 0.006
S: 0.747 0.742 0.495
S: 0.750 0.256 0.501
S: 0.751 0.256 0.006



## HgPdI2Br (PBE)

Data for a relaxed HgPdI2Br crystal.

magnetization	0.00	μB per cell
uncorrected formation energy	0.4283	eV per atom

Lattice parameters (Å, degrees): 6.138 4.861 6.138 90.00 90.00 90.00
Atoms (fractional coordinates):
I: 0.000 0.000 0.500
I: 0.500 0.000 0.000
Br: 0.000 0.000 0.000
Hg: 0.500 0.500 0.500
Pd: 0.000 0.500 0.000



## TbPaCrTc (PBE)

Data for a relaxed TbPaCrTc crystal.

DFT formation energy	0.1604	eV per atom
magnetization	2.19	μB per cell

Lattice parameters (Å, degrees): 4.869 4.869 4.869 60.00 60.00 60.00
Site moments in Bohr magnetons follow the coordinates.
Atoms (fractional coordinates):
Cr: 0.500 0.500 0.500  2.38
Pa: 0.250 0.250 0.250  -0.33
Tb: 0.750 0.750 0.750  -0.06
Tc: 0.000 0.000 0.000  0.11



## CaTl3 (PBE)

Data for a relaxed CaTl3 crystal.

DFT formation energy	0.5590	eV per atom
magnetization	0.00	μB per cell

Lattice parameters (Å, degrees): 6.173 6.173 6.173 90.00 90.00 90.00
Atoms (fractional coordinates):
Tl: 0.500 0.000 0.000
Tl: 0.000 0.500 0.000
Tl: 0.000 0.000 0.500
Ca: 0.000 0.000 0.000



## SrTb3Tc (PBE)

Data for a relaxed SrTb3Tc crystal.

DFT formation energy	0.0668	eV per atom
magnetization	0.00	μB per cell

Lattice parameters (Å, degrees): 5.506 5.506 5.506 90.00 90.00 90.00
Atoms (fractional coordinates):
Sr: 0.500 0.500 0.500
Tb: 0.000 0.500 0.000
Tb: 0.000 0.000 0.500
Tb: 0.500 0.000 0.000
Tc: 0.000 0.000 0.000



## Cs6NaHgO (PBE)

Data for a relaxed Cs6NaHgO crystal.

magnetization	1.49	μB per cell
uncorrected formation energy	-0.3366	eV per atom

Lattice parameters (Å, degrees): 9.358 9.358 16.364 90.00 90.00 120.00
Atoms (fractional coordinates):
Cs: 0.660 0.588 0.145
Cs: 0.928 0.340 0.145
Cs: 0.340 0.928 0.645
Cs: 0.072 0.660 0.855
Cs: 0.412 0.340 0.355
Cs: 0.928 0.588 0.355
Cs: 0.588 0.928 0.855
Cs: 0.660 0.072 0.355
Cs: 0.072 0.412 0.645
Cs: 0.412 0.072 0.145
Cs: 0.588 0.660 0.645
Cs: 0.340 0.412 0.855
Na: 0.000 0.000 0.000
Na: 0.000 0.000 0.500
Hg: 0.333 0.667 0.250
Hg: 0.667 0.333 0.750
O: 0.667 0.333 0.250
O: 0.333 0.667 0.750



## Mg2InPd5Pt (PBE)

Data for a relaxed Mg2InPd5Pt crystal.

DFT formation energy	-0.2005	eV per atom
magnetization	0.00	μB per cell

Lattice parameters (Å, degrees): 7.396 7.396 7.747 118.51 118.51 90.00
Atoms (fractional coordinates):
Mg: 0.116 0.384 0.000
Mg: 0.616 0.116 0.000
Mg: 0.384 0.884 0.000
Mg: 0.884 0.616 0.000
In: 0.250 0.250 0.500
In: 0.750 0.750 0.500
Pd: 0.926 0.426 0.262
Pd: 0.664 0.164 0.738
Pd: 0.074 0.574 0.738
Pd: 0.164 0.074 0.738
Pd: 0.574 0.664 0.738
Pd: 0.836 0.926 0.262
Pd: 0.426 0.336 0.262
Pd: 0.336 0.836 0.262
Pd: 0.500 0.500 0.000
Pd: 0.000 0.000 0.000
Pt: 0.250 0.750 0.500
Pt: 0.750 0.250 0.500